No. 1
A plane-wave DFT calculation with GGA-PBE was carried out for crystalline CdBSb2 at its relaxed geometry.

Results
density	6.00	Mg/m³
offset from the most stable computed form	0	meV/atom
energy	-3.622	eV per atom
energy relative to the elements, uncorrected	338	meV/atom

a = 6.975 Å, b = 6.975 Å, c = 6.975 Å
α = 128.32°, β = 128.32°, γ = 76.11°
Element x y z (fractional)
Cd 0.000 0.000 0.000
Cd 0.750 0.250 0.500
B 0.250 0.750 0.500
B 0.500 0.500 0.000
Sb 0.197 0.625 0.072
Sb 0.375 0.447 0.572
Sb 0.553 0.125 0.928
Sb 0.875 0.803 0.428



No. 2
A plane-wave DFT calculation with GGA-PBE was carried out for crystalline PrI4 at its relaxed geometry.

Results
density	4.40	Mg/m³
energy	-3.019	eV per atom
energy relative to the elements, uncorrected	-823	meV/atom

a = 6.254 Å, b = 6.254 Å, c = 6.254 Å
α = 90.00°, β = 90.00°, γ = 90.00°
Element x y z (fractional)
Pr 0.000 0.000 0.000
I 0.000 0.000 0.500
I 0.000 0.500 0.000
I 0.500 0.000 0.000
I 0.500 0.500 0.500



No. 3
A plane-wave DFT calculation with GGA-PBE was carried out for crystalline La2Re at its relaxed geometry.

Results
density	8.60	Mg/m³
calculated formation energy	0.16	eV/atom
offset from the most stable computed form	0	meV/atom
energy	-7.277	eV per atom

a = 6.404 Å, b = 6.404 Å, c = 7.073 Å
α = 91.19°, β = 91.19°, γ = 38.17°
Element x y z (fractional)
La 0.000 0.000 0.000
La 0.104 0.104 0.516
La 0.348 0.348 0.279
La 0.715 0.715 0.907
Re 0.412 0.412 0.737
Re 0.864 0.864 0.577



No. 4
A plane-wave DFT calculation with GGA-PBE was carried out for crystalline CuMo2Pb at its relaxed geometry.

Results
density	11.19	Mg/m³
calculated formation energy	0.71	eV/atom
energy	-6.658	eV per atom

a = 5.122 Å, b = 5.122 Å, c = 2.928 Å
α = 90.00°, β = 90.00°, γ = 116.65°
Element x y z (fractional)
Cu 0.000 0.000 0.000
Mo 0.000 0.500 0.500
Mo 0.500 0.000 0.500
Pb 0.500 0.500 0.000



No. 5
A plane-wave DFT calculation with GGA-PBE was carried out for crystalline LaCeHg at its relaxed geometry.

Results
density	8.61	Mg/m³
calculated formation energy	-0.20	eV/atom
offset from the most stable computed form	64	meV/atom
energy	-3.917	eV per atom

a = 6.772 Å, b = 6.772 Å, c = 6.772 Å
α = 146.85°, β = 146.85°, γ = 47.58°
Element x y z (fractional)
La 0.000 0.000 0.000
Ce 0.694 0.694 0.000
Hg 0.340 0.340 0.000



No. 6
A plane-wave DFT calculation with GGA-PBE was carried out for crystalline BeAs2Se at its relaxed geometry.

Results
density	5.68	Mg/m³
offset from the most stable computed form	881	meV/atom
energy	-3.536	eV per atom
energy relative to the elements, uncorrected	591	meV/atom

a = 4.564 Å, b = 4.564 Å, c = 4.564 Å
α = 117.57°, β = 117.57°, γ = 94.27°
Element x y z (fractional)
Be 0.000 0.000 0.000
As 0.250 0.750 0.500
As 0.500 0.500 0.000
Se 0.750 0.250 0.500



No. 7
A plane-wave DFT calculation with GGA-PBE was carried out for crystalline Rb3Er3US8 at its relaxed geometry.

Results
density	4.77	Mg/m³
energy	-5.830	eV per atom
energy relative to the elements, uncorrected	-1770	meV/atom

a = 9.084 Å, b = 9.084 Å, c = 9.084 Å
α = 52.46°, β = 52.46°, γ = 52.46°
Element x y z (fractional)
Rb 0.000 0.500 0.500
Rb 0.500 0.000 0.500
Rb 0.500 0.500 0.000
Er 0.000 0.000 0.500
Er 0.000 0.500 0.000
Er 0.500 0.000 0.000
U 0.500 0.500 0.500
S 0.229 0.229 0.229
S 0.231 0.727 0.727
S 0.273 0.273 0.769
S 0.273 0.769 0.273
S 0.727 0.231 0.727
S 0.727 0.727 0.231
S 0.769 0.273 0.273
S 0.771 0.771 0.771



No. 8
A plane-wave DFT calculation with GGA-PBE was carried out for crystalline Na5B7C3 at its relaxed geometry.

Results
density	2.42	Mg/m³
calculated formation energy	0.12	eV/atom
offset from the most stable computed form	8	meV/atom
energy	-5.280	eV per atom

a = 11.559 Å, b = 11.559 Å, c = 9.949 Å
α = 106.96°, β = 106.96°, γ = 14.16°
Element x y z (fractional)
Na 0.000 0.000 0.000
Na 0.100 0.100 0.701
Na 0.200 0.200 0.401
Na 0.300 0.300 0.097
Na 0.400 0.400 0.799
Na 0.500 0.500 0.500
Na 0.600 0.600 0.201
Na 0.700 0.700 0.903
Na 0.800 0.800 0.599
Na 0.900 0.900 0.299
B 0.014 0.014 0.278
B 0.083 0.083 0.416
B 0.119 0.119 0.989
B 0.189 0.189 0.128
B 0.217 0.217 0.683
B 0.377 0.377 0.504
B 0.420 0.420 0.090
B 0.580 0.580 0.910
B 0.623 0.623 0.496
B 0.783 0.783 0.317
B 0.811 0.811 0.872
B 0.881 0.881 0.011
B 0.917 0.917 0.584
B 0.986 0.986 0.722
C 0.280 0.280 0.811
C 0.314 0.314 0.380
C 0.483 0.483 0.215
C 0.517 0.517 0.785
C 0.686 0.686 0.620
C 0.720 0.720 0.189



No. 9
A plane-wave DFT calculation with GGA-PBE was carried out for crystalline Pr2Sm3Se6 at its relaxed geometry.

Results
density	6.39	Mg/m³
energy	-5.945	eV per atom
energy relative to the elements, uncorrected	-1888	meV/atom

a = 7.256 Å, b = 7.256 Å, c = 7.276 Å
α = 99.59°, β = 99.59°, γ = 119.79°
Element x y z (fractional)
Pr 0.165 0.835 0.000
Pr 0.835 0.165 0.000
Sm 0.000 0.000 0.500
Sm 0.335 0.665 0.500
Sm 0.665 0.335 0.500
Se 0.086 0.415 0.745
Se 0.257 0.257 0.251
Se 0.415 0.086 0.745
Se 0.585 0.914 0.255
Se 0.743 0.743 0.749
Se 0.914 0.585 0.255



No. 10
A plane-wave DFT calculation with GGA-PBE was carried out for crystalline HfPaS4 at its relaxed geometry.

Results
density	5.30	Mg/m³
offset from the most stable computed form	0	meV/atom
energy	-7.540	eV per atom
energy relative to the elements, uncorrected	-1547	meV/atom

a = 6.665 Å, b = 3.839 Å, c = 6.890 Å
α = 90.00°, β = 107.20°, γ = 90.00°
Element x y z (fractional)
Hf 0.000 0.000 0.000
Pa 0.500 0.500 0.000
S 0.220 0.500 0.213
S 0.248 0.000 0.780
S 0.752 0.000 0.220
S 0.780 0.500 0.787



No. 11
A plane-wave DFT calculation with GGA-PBE was carried out for crystalline TbSnRu at its relaxed geometry.

Results
density	9.56	Mg/m³
calculated formation energy	-0.39	eV/atom
energy	-6.363	eV per atom

a = 4.643 Å, b = 4.643 Å, c = 3.523 Å
α = 90.00°, β = 90.00°, γ = 120.00°
Element x y z (fractional)
Tb 0.000 0.000 0.000
Sn 0.333 0.667 0.500
Ru 0.667 0.333 0.500



No. 12
A plane-wave DFT calculation with GGA-PBE was carried out for crystalline SrTaReMo2 at its relaxed geometry.

Results
density	10.66	Mg/m³
calculated formation energy	3.30	eV/atom
energy	-6.230	eV per atom

a = 4.594 Å, b = 4.594 Å, c = 4.773 Å
α = 90.00°, β = 90.00°, γ = 90.00°
Element x y z (fractional)
Sr 0.000 0.000 0.000
Ta 0.000 0.000 0.500
Re 0.500 0.500 0.500
Mo 0.000 0.500 0.000
Mo 0.500 0.000 0.000



No. 13
A plane-wave DFT calculation with GGA-PBE was carried out for crystalline LiAl2W at its relaxed geometry.

Results
density	6.69	Mg/m³
calculated formation energy	-0.04	eV/atom
offset from the most stable computed form	47	meV/atom
energy	-5.625	eV per atom

a = 2.827 Å, b = 3.692 Å, c = 5.819 Å
α = 90.00°, β = 90.00°, γ = 90.00°
Element x y z (fractional)
Li 0.000 0.000 0.000
Al 0.500 0.500 0.250
Al 0.500 0.500 0.750
W 0.000 0.000 0.500



No. 14
A plane-wave DFT calculation with GGA-PBE was carried out for crystalline Zn2HgTeBr at its relaxed geometry.

Results
density	5.39	Mg/m³
energy	-0.991	eV per atom
energy relative to the elements, uncorrected	541	meV/atom

a = 5.329 Å, b = 5.329 Å, c = 5.847 Å
α = 90.00°, β = 90.00°, γ = 90.00°
Element x y z (fractional)
Zn 0.000 0.500 0.000
Zn 0.500 0.000 0.000
Hg 0.000 0.000 0.500
Te 0.500 0.500 0.500
Br 0.500 0.500 0.000



No. 15
A plane-wave DFT calculation with GGA-PBE was carried out for crystalline K2RbTaF6 at its relaxed geometry.

Results
density	3.58	Mg/m³
energy	-5.247	eV per atom
energy relative to the elements, uncorrected	-2623	meV/atom

a = 6.702 Å, b = 6.702 Å, c = 6.702 Å
α = 60.00°, β = 60.00°, γ = 60.00°
Element x y z (fractional)
K 0.250 0.250 0.250
K 0.750 0.750 0.750
Rb 0.000 0.000 0.000
Ta 0.500 0.500 0.500
F 0.282 0.282 0.718
F 0.282 0.718 0.282
F 0.282 0.718 0.718
F 0.718 0.282 0.282
F 0.718 0.282 0.718
F 0.718 0.718 0.282



No. 16
A plane-wave DFT calculation with GGA-PBE was carried out for crystalline TcMo2Ru at its relaxed geometry.

Results
density	10.72	Mg/m³
calculated formation energy	0.16	eV/atom
offset from the most stable computed form	55	meV/atom
energy	-10.170	eV per atom

a = 2.752 Å, b = 3.924 Å, c = 5.606 Å
α = 90.00°, β = 90.00°, γ = 90.00°
Element x y z (fractional)
Tc 0.000 0.000 0.000
Mo 0.000 0.000 0.514
Mo 0.500 0.500 0.245
Ru 0.500 0.500 0.754



No. 17
A plane-wave DFT calculation with GGA-PBE was carried out for crystalline CsGdTl2 at its relaxed geometry.

Results
density	8.02	Mg/m³
calculated formation energy	-0.19	eV/atom
offset from the most stable computed form	0	meV/atom
energy	-5.111	eV per atom

a = 3.954 Å, b = 3.954 Å, c = 9.256 Å
α = 90.00°, β = 90.00°, γ = 90.00°
Element x y z (fractional)
Cs 0.000 0.000 0.000
Gd 0.000 0.000 0.500
Tl 0.500 0.500 0.309
Tl 0.500 0.500 0.691



No. 18
A plane-wave DFT calculation with GGA-PBE was carried out for crystalline Ga2CuAg2 at its relaxed geometry.

Results
density	7.81	Mg/m³
calculated formation energy	0.20	eV/atom
offset from the most stable computed form	101	meV/atom
energy	-2.973	eV per atom

a = 7.176 Å, b = 7.176 Å, c = 3.458 Å
α = 90.00°, β = 90.00°, γ = 90.00°
Element x y z (fractional)
Ga 0.161 0.339 0.000
Ga 0.339 0.839 0.000
Ga 0.661 0.161 0.000
Ga 0.839 0.661 0.000
Cu 0.000 0.000 0.500
Cu 0.500 0.500 0.500
Ag 0.143 0.643 0.500
Ag 0.357 0.143 0.500
Ag 0.643 0.857 0.500
Ag 0.857 0.357 0.500



No. 19
A plane-wave DFT calculation with GGA-PBE was carried out for crystalline Li2YHAu at its relaxed geometry.

Results
density	4.64	Mg/m³
offset from the most stable computed form	966	meV/atom
energy	-2.883	eV per atom

a = 5.392 Å, b = 5.392 Å, c = 3.703 Å
α = 90.00°, β = 90.00°, γ = 90.00°
Element x y z (fractional)
Li 0.000 0.500 0.000
Li 0.500 0.000 0.000
Y 0.000 0.000 0.000
H 0.000 0.000 0.500
Au 0.500 0.500 0.500



No. 20
A plane-wave DFT calculation with GGA-PBE was carried out for crystalline AcDy2Tl2 at its relaxed geometry.

Results
density	9.86	Mg/m³
calculated formation energy	-0.25	eV/atom
energy	-3.854	eV per atom

a = 7.342 Å, b = 5.291 Å, c = 9.057 Å
α = 90.00°, β = 113.05°, γ = 90.00°
Element x y z (fractional)
Ac 0.249 0.250 0.249
Ac 0.751 0.750 0.751
Dy 0.161 0.750 0.545
Dy 0.340 0.750 0.956
Dy 0.660 0.250 0.044
Dy 0.839 0.250 0.455
Tl 0.093 0.250 0.829
Tl 0.410 0.250 0.669
Tl 0.590 0.750 0.331
Tl 0.907 0.750 0.171